BaYTe2C (PBE, relaxed); ΔE_f (raw) = 1.866 eV per atom; calculated volume = 268.8 Å³ per cell; calculated density = 3.05 g/cm³; crystal system = tetragonal; magnetic moment = 1.93 Bohr magnetons per cell
1.0
6.353 0.000 0.000
0.000 6.353 0.000
0.000 0.000 6.662
Ba Y Te C
1 1 2 1
direct
0.000 0.000 0.000 Ba
0.000 0.000 0.500 Y
0.000 0.500 0.000 Te
0.500 0.000 0.000 Te
0.500 0.500 0.500 C


TaTlCo2 (PBE, relaxed); calculated volume = 62.0 Å³ per cell; E_form = 0.3189 eV/atom; calculated density = 13.47 g/cm³; crystal system = monoclinic; magnetic moment = 0.00 Bohr magnetons per cell
1.0
4.656 -1.629 0.000
4.656 1.629 0.000
-0.950 0.000 4.091
Ta Tl Co
1 1 2
direct
0.000 0.000 0.000 Ta
0.750 0.750 0.381 Tl
0.288 0.288 0.900 Co
0.489 0.489 0.522 Co


LiTaMn2 (PBE, relaxed); calculated volume = 54.0 Å³ per cell; E_form = 0.2619 eV/atom; calculated density = 9.16 g/cm³; crystal system = orthorhombic; magnetic moment = 2.63 Bohr magnetons per cell
1.0
3.050 0.000 0.000
0.000 4.036 0.000
0.000 0.000 4.383
Li Ta Mn
1 1 2
direct
0.000 0.000 0.000 Li
0.500 0.000 0.500 Ta
0.000 0.500 0.500 Mn
0.500 0.500 0.000 Mn


YTlTe2 (PBE, relaxed); ΔE_f (raw) = -0.872 eV per atom; calculated volume = 120.9 Å³ per cell; calculated density = 7.54 g/cm³; crystal system = monoclinic; magnetic moment = 0.00 Bohr magnetons per cell
1.0
4.310 0.000 0.000
0.000 4.742 0.000
-2.155 0.000 5.914
Y Tl Te
1 1 2
direct
0.000 0.000 0.000 Y
0.814 0.500 0.625 Tl
0.292 0.000 0.582 Te
0.563 0.500 0.124 Te


LaPm2Sm3Y6 (PBE, relaxed); calculated volume = 398.8 Å³ per cell; E_form = 0.0123 eV/atom; calculated density = 5.88 g/cm³; crystal system = monoclinic; magnetic moment = 0.00 Bohr magnetons per cell
1.0
3.137 -5.431 0.000
3.137 5.431 0.000
-2.083 0.000 11.705
La Pm Sm Y
1 2 3 6
direct
0.000 0.000 0.000 La
0.333 0.667 0.000 Pm
0.667 0.333 0.000 Pm
0.167 0.833 0.500 Sm
0.500 0.500 0.500 Sm
0.833 0.167 0.500 Sm
0.084 0.418 0.251 Y
0.250 0.250 0.748 Y
0.418 0.084 0.251 Y
0.582 0.916 0.749 Y
0.750 0.750 0.252 Y
0.916 0.582 0.749 Y


AgPdAuO4 (PBE, relaxed); ΔE_f (raw) = -0.135 eV per atom; calculated volume = 196.4 Å³ per cell; calculated density = 8.04 g/cm³; crystal system = orthorhombic; magnetic moment = 0.00 Bohr magnetons per cell
1.0
-3.039 3.098 5.214
3.039 -3.098 5.214
3.039 3.098 -5.214
Ag Pd Au O
2 2 2 8
direct
0.398 0.148 0.250 Ag
0.602 0.852 0.750 Ag
0.000 0.500 0.500 Pd
0.500 0.500 0.000 Pd
0.000 0.000 0.500 Au
0.000 0.500 0.000 Au
0.161 0.697 0.464 O
0.263 0.296 0.533 O
0.263 0.731 0.967 O
0.267 0.303 0.964 O
0.733 0.697 0.036 O
0.737 0.269 0.033 O
0.737 0.704 0.467 O
0.839 0.303 0.536 O


La6OsRu2 (PBE, relaxed); calculated volume = 584.6 Å³ per cell; E_form = -0.2194 eV/atom; calculated density = 6.96 g/cm³; crystal system = orthorhombic; magnetic moment = 0.00 Bohr magnetons per cell
1.0
6.724 0.000 0.000
0.000 7.184 0.000
0.000 0.000 12.104
La Os Ru
12 2 4
direct
0.217 0.173 0.000 La
0.245 0.673 0.168 La
0.245 0.673 0.832 La
0.255 0.173 0.332 La
0.255 0.173 0.668 La
0.283 0.673 0.500 La
0.717 0.327 0.500 La
0.745 0.827 0.332 La
0.745 0.827 0.668 La
0.755 0.327 0.168 La
0.755 0.327 0.832 La
0.783 0.827 0.000 La
0.000 0.500 0.000 Os
0.500 0.000 0.500 Os
0.000 0.000 0.193 Ru
0.000 0.000 0.807 Ru
0.500 0.500 0.307 Ru
0.500 0.500 0.693 Ru


Hf6HRh2 (PBE, relaxed); calculated volume = 332.1 Å³ per cell; uncorrected energy = -9.061 eV per atom; calculated density = 12.78 g/cm³; crystal system = monoclinic; magnetic moment = 0.00 Bohr magnetons per cell
1.0
5.844 0.000 0.000
0.000 6.177 0.000
-5.534 0.000 9.200
Hf H Rh
12 2 4
direct
0.080 0.032 0.252 Hf
0.080 0.468 0.752 Hf
0.184 0.693 0.051 Hf
0.184 0.807 0.551 Hf
0.420 0.211 0.052 Hf
0.420 0.289 0.552 Hf
0.580 0.711 0.448 Hf
0.580 0.789 0.948 Hf
0.816 0.193 0.449 Hf
0.816 0.307 0.949 Hf
0.920 0.532 0.248 Hf
0.920 0.968 0.748 Hf
0.000 0.000 0.000 H
0.000 0.500 0.500 H
0.365 0.116 0.756 Rh
0.365 0.384 0.256 Rh
0.635 0.616 0.744 Rh
0.635 0.884 0.244 Rh


LaAgTe2 (PBE, relaxed); ΔE_f (raw) = -0.086 eV per atom; calculated volume = 134.3 Å³ per cell; calculated density = 6.20 g/cm³; crystal system = trigonal; magnetic moment = 0.00 Bohr magnetons per cell
1.0
1.991 1.150 9.779
-1.991 1.150 9.779
0.000 -2.300 9.779
La Ag Te
1 1 2
direct
0.000 0.000 0.000 La
0.500 0.500 0.500 Ag
0.106 0.106 0.106 Te
0.894 0.894 0.894 Te


Np2SiGePt6 (PBE, relaxed); ΔE_f (raw) = -0.556 eV per atom; calculated volume = 392.7 Å³ per cell; calculated density = 14.76 g/cm³; crystal system = orthorhombic; magnetic moment = 15.49 Bohr magnetons per cell
1.0
5.517 0.000 0.000
0.000 8.464 0.000
0.000 0.000 8.409
Np Si Ge Pt
4 2 2 12
direct
0.250 0.001 0.232 Np
0.250 0.499 0.232 Np
0.750 0.501 0.768 Np
0.750 0.999 0.768 Np
0.250 0.750 0.754 Si
0.750 0.250 0.246 Si
0.250 0.250 0.772 Ge
0.750 0.750 0.228 Ge
0.001 0.250 0.495 Pt
0.001 0.750 0.984 Pt
0.250 0.001 0.618 Pt
0.250 0.499 0.618 Pt
0.499 0.250 0.495 Pt
0.499 0.750 0.984 Pt
0.501 0.250 0.016 Pt
0.501 0.750 0.505 Pt
0.750 0.501 0.382 Pt
0.750 0.999 0.382 Pt
0.999 0.250 0.016 Pt
0.999 0.750 0.505 Pt


Sm2Zn2Cu5Rh (PBE, relaxed); calculated volume = 335.6 Å³ per cell; E_form = -0.0866 eV/atom; calculated density = 8.43 g/cm³; crystal system = tetragonal; magnetic moment = 0.00 Bohr magnetons per cell
1.0
9.688 0.000 0.000
0.000 9.688 0.000
0.000 0.000 3.575
Sm Zn Cu Rh
4 4 10 2
direct
0.179 0.321 0.000 Sm
0.321 0.821 0.000 Sm
0.679 0.179 0.000 Sm
0.821 0.679 0.000 Sm
0.119 0.619 0.000 Zn
0.381 0.119 0.000 Zn
0.619 0.881 0.000 Zn
0.881 0.381 0.000 Zn
0.000 0.500 0.500 Cu
0.050 0.808 0.500 Cu
0.192 0.050 0.500 Cu
0.308 0.550 0.500 Cu
0.450 0.308 0.500 Cu
0.500 0.000 0.500 Cu
0.550 0.692 0.500 Cu
0.692 0.450 0.500 Cu
0.808 0.950 0.500 Cu
0.950 0.192 0.500 Cu
0.000 0.000 0.000 Rh
0.500 0.500 0.000 Rh


Li5TmCd4 (PBE, relaxed); calculated volume = 196.7 Å³ per cell; E_form = -0.1642 eV/atom; calculated density = 5.51 g/cm³; crystal system = tetragonal; magnetic moment = 0.00 Bohr magnetons per cell
1.0
3.451 0.000 0.000
0.000 3.451 0.000
0.000 0.000 16.517
Li Tm Cd
5 1 4
direct
0.000 0.000 0.000 Li
0.000 0.000 0.191 Li
0.000 0.000 0.374 Li
0.000 0.000 0.626 Li
0.000 0.000 0.809 Li
0.500 0.500 0.500 Tm
0.500 0.500 0.097 Cd
0.500 0.500 0.292 Cd
0.500 0.500 0.708 Cd
0.500 0.500 0.903 Cd